Model one:
Computed, not measured: a relaxed NiMo3Au crystal at the PBE level of DFT.

Properties
* spin magnetization: 0.000 μB per atom
* calculated density: 10.13 g/cm3
* symmetry: Pm-3m, No. 221

Structure (POSCAR):
```
NiMo3Au
1.0
4.466 0.000 0.000
0.000 4.466 0.000
0.000 0.000 4.466
Ni Mo Au
1 3 1
direct
0.000 0.000 0.000
0.000 0.000 0.500
0.000 0.500 0.000
0.500 0.000 0.000
0.500 0.500 0.500
```

***

Model two:
Computed, not measured: a relaxed NiMo3Au crystal at the PBE level of DFT.

Properties
* spin magnetization: 0.049 μB per atom
* calculated density: 8.09 g/cm3
* symmetry: Pm-3m, No. 221

Structure (POSCAR):
```
NiMo3Au
1.0
4.814 0.000 0.000
0.000 4.814 0.000
0.000 0.000 4.814
Ni Mo Au
1 3 1
direct
0.000 0.000 0.000
0.000 0.500 0.500
0.500 0.000 0.500
0.500 0.500 0.000
0.500 0.500 0.500
```

***

Of them, the most stable is model one and the least stable is model two.

***

Model one:
Computed, not measured: a relaxed NiMoAu crystal at the PBE level of DFT.

Properties
* spin magnetization: 0.000 μB per atom
* calculated density: 13.14 g/cm3
* symmetry: I4mm, No. 107

Structure (POSCAR):
```
NiMoAu
1.0
-1.385 1.385 5.785
1.385 -1.385 5.785
1.385 1.385 -5.785
Ni Mo Au
1 1 1
direct
0.000 0.000 0.000
0.643 0.643 0.000
0.330 0.330 0.000
```

***

Model two:
Computed, not measured: a relaxed NiMoAu crystal at the PBE level of DFT.

Properties
* spin magnetization: 0.112 μB per atom
* calculated density: 10.80 g/cm3
* symmetry: F-43m, No. 216

Structure (POSCAR):
```
NiMoAu
1.0
0.000 3.001 3.001
3.001 0.000 3.001
3.001 3.001 0.000
Ni Mo Au
1 1 1
direct
0.000 0.000 0.000
0.750 0.750 0.750
0.500 0.500 0.500
```

***

Of them, the most stable is model one and the least stable is model two.